1.
# TaRe3Si

A relaxed TaRe3Si crystal (PBE-GGA, Alexandria).

Cell: 4.3847 4.3847 4.3847 Å, 90.00 90.00 90.00°
Fractional positions:
Ta 0.5000 0.5000 0.5000
Re 0.0000 0.0000 0.5000
Re 0.5000 0.0000 0.0000
Re 0.0000 0.5000 0.0000
Si 0.0000 0.0000 0.0000

## Properties
Distance to the lowest polymorph of the same formula, meV/atom: 0.0
V, A^3/atom: 16.860

---

2.
# Ho2Ag5Cl12

A relaxed Ho2Ag5Cl12 crystal (PBE-GGA, Alexandria).

Cell: 7.5983 7.9747 9.9973 Å, 103.22 90.00 118.45°
Fractional positions:
Cl 0.9218 0.3581 0.1642
Cl 0.6285 0.7411 0.4751
Cl 0.5511 0.1021 0.8482
Cl 0.8874 0.2589 0.5249
Cl 0.0526 0.1051 0.8508
Cl 0.4489 0.8979 0.1518
Cl 0.3715 0.2589 0.5249
Cl 0.4364 0.3581 0.1642
Cl 0.0782 0.6419 0.8358
Cl 0.1126 0.7411 0.4751
Cl 0.5636 0.6419 0.8358
Cl 0.9474 0.8949 0.1492
Ho 0.7508 0.0000 0.0000
Ho 0.2492 0.0000 0.0000
Ag 0.0000 0.0000 0.5000
Ag 0.2879 0.5758 0.6170
Ag 0.7121 0.4242 0.3830
Ag 0.7195 0.4391 0.6879
Ag 0.2805 0.5609 0.3121

## Properties
Final energy, eV/atom: -3.572
V, A^3/atom: 27.068

---

3.
# CaCeCdIr

A relaxed CaCeCdIr crystal (PBE-GGA, Alexandria).

Cell: 5.0963 5.0963 5.0963 Å, 60.00 60.00 60.00°
Each line ends with the local moment (μB).
Fractional positions:
Ce 0.5000 0.5000 0.5000  0.36
Ir 0.2500 0.2500 0.2500  -0.04
Ca 0.0000 0.0000 0.0000  0.00
Cd 0.7500 0.7500 0.7500  0.00

## Properties
Final energy, eV/atom: -4.740
V, A^3/atom: 23.399